[1]
# LiY2NbSe

LiY2NbSe after structural relaxation (GGA-PBEsol, Alexandria).

- formation energy without anion corrections (eV per atom) = 0.395

Cell lengths 5.1821, 5.1821, 4.0530 Å; angles 90.00, 90.00, 90.00 degrees
Closest atoms and distances in Å follow each position.
Element x y z (fractional)
Li 0.0000 0.0000 0.0000  2 Se 2.03
Y 0.0000 0.5000 0.0000  2 Li 2.59
Y 0.5000 0.0000 0.0000  2 Li 2.59
Nb 0.5000 0.5000 0.5000  8 Y 3.29, 4 Se 3.66
Se 0.0000 0.0000 0.5000  2 Li 2.03



[2]
# TaAl2ReTc

TaAl2ReTc after structural relaxation (GGA-PBEsol, Alexandria).

- ΔE_f (kJ/mol of formula units) = 599

Cell lengths 4.4240, 4.4240, 4.7458 Å; angles 90.00, 90.00, 90.00 degrees
Closest atoms and distances in Å follow each position.
Element x y z (fractional)
Ta 0.0000 0.0000 0.0000  4 Re 3.13, 8 Al 3.24
Al 0.0000 0.5000 0.5000  2 Tc 2.21
Al 0.5000 0.0000 0.5000  2 Tc 2.21
Re 0.5000 0.5000 0.0000  2 Tc 2.37
Tc 0.5000 0.5000 0.5000  4 Al 2.21, 2 Re 2.37



[3]
# Dy2Re2Si2C

Dy2Re2Si2C after structural relaxation (GGA-PBEsol, Alexandria).

- formation energy without anion corrections (eV per atom) = -0.662

Cell lengths 10.8124, 3.9404, 6.8567 Å; angles 90.00, 127.07, 90.00 degrees
Closest atoms and distances in Å follow each position.
Element x y z (fractional)
Dy 0.0722 0.0000 0.2983  2 C 2.60
Dy 0.4278 0.5000 0.7017  2 C 2.60
Dy 0.5722 0.5000 0.2983  2 C 2.60
Dy 0.9278 0.0000 0.7017  2 C 2.60
Re 0.2079 0.5000 0.0916  1 C 1.94
Re 0.2921 0.0000 0.9084  1 C 1.94
Re 0.7079 0.0000 0.0916  1 C 1.94
Re 0.7921 0.5000 0.9084  1 C 1.94
Si 0.1406 0.5000 0.6778  3 Re 2.44-2.47, 1 Si 2.50
Si 0.3594 0.0000 0.3222  3 Re 2.44-2.47, 1 Si 2.50
Si 0.6406 0.0000 0.6778  3 Re 2.44-2.47, 1 Si 2.50
Si 0.8594 0.5000 0.3222  3 Re 2.44-2.47, 1 Si 2.50
C 0.0000 0.5000 0.0000  2 Re 1.94
C 0.5000 0.0000 0.0000  2 Re 1.94



[4]
# SrCrIr2

SrCrIr2 after structural relaxation (GGA-PBEsol, Alexandria).

- ΔE_f (kJ/mol of formula units) = 40
- offset from the most stable computed form (eV per atom) = 0.000

Cell lengths 2.9456, 2.9456, 7.7227 Å; angles 90.00, 90.00, 90.00 degrees
Closest atoms and distances in Å follow each position.
Element x y z (fractional)
Sr 0.0000 0.0000 0.0000  4 Sr 2.95, 8 Ir 3.18
Cr 0.0000 0.0000 0.5000  8 Ir 2.55
Ir 0.5000 0.5000 0.3104  4 Cr 2.55
Ir 0.5000 0.5000 0.6896  4 Cr 2.55



[5]
# Cs3B6H12S4Br

Cs3B6H12S4Br after structural relaxation (GGA-PBEsol, Alexandria).

- final energy (eV per atom) = -4.519

Cell lengths 10.2490, 10.2490, 8.5462 Å; angles 90.00, 90.00, 120.00 degrees
Closest atoms and distances in Å follow each position.
Element x y z (fractional)
Cs 0.1595 0.3190 0.0000  8 H 3.01-3.20
Cs 0.1595 0.8405 0.0000  8 H 3.01-3.20
Cs 0.3190 0.1595 0.5000  8 H 3.01-3.20
Cs 0.6810 0.8405 0.0000  8 H 3.01-3.20
Cs 0.8405 0.1595 0.5000  8 H 3.01-3.20
Cs 0.8405 0.6810 0.5000  8 H 3.01-3.20
B 0.1334 0.5667 0.6657  2 H 1.22
B 0.2337 0.4675 0.3722  2 H 1.22
B 0.2337 0.7663 0.3722  2 H 1.22
B 0.4333 0.5667 0.6657  2 H 1.22
B 0.4333 0.8666 0.6657  2 H 1.22
B 0.4675 0.2337 0.8722  2 H 1.22
B 0.5325 0.7663 0.3722  2 H 1.22
B 0.5667 0.1334 0.1657  2 H 1.22
B 0.5667 0.4333 0.1657  2 H 1.22
B 0.7663 0.2337 0.8722  2 H 1.22
B 0.7663 0.5325 0.8722  2 H 1.22
B 0.8666 0.4333 0.1657  2 H 1.22
H 0.0051 0.5025 0.6139  1 B 1.22
H 0.1035 0.4060 0.3268  1 B 1.22
H 0.1035 0.6975 0.3268  1 B 1.22
H 0.1377 0.5688 0.8086  1 B 1.22
H 0.3025 0.4060 0.3268  1 B 1.22
H 0.3025 0.8965 0.3268  1 B 1.22
H 0.4060 0.1035 0.8268  1 B 1.22
H 0.4060 0.3025 0.8268  1 B 1.22
H 0.4312 0.5688 0.8086  1 B 1.22
H 0.4312 0.8623 0.8086  1 B 1.22
H 0.4975 0.5025 0.6139  1 B 1.22
H 0.4975 0.9949 0.6139  1 B 1.22
H 0.5025 0.0051 0.1139  1 B 1.22
H 0.5025 0.4975 0.1139  1 B 1.22
H 0.5688 0.1377 0.3086  1 B 1.22
H 0.5688 0.4312 0.3086  1 B 1.22
H 0.5940 0.6975 0.3268  1 B 1.22
H 0.5940 0.8965 0.3268  1 B 1.22
H 0.6975 0.1035 0.8268  1 B 1.22
H 0.6975 0.5940 0.8268  1 B 1.22
H 0.8623 0.4312 0.3086  1 B 1.22
H 0.8965 0.3025 0.8268  1 B 1.22
H 0.8965 0.5940 0.8268  1 B 1.22
H 0.9949 0.4975 0.1139  1 B 1.22
S 0.2294 0.4587 0.5951  3 B 1.91
S 0.2294 0.7706 0.5951  3 B 1.91
S 0.3333 0.6667 0.2869  3 B 1.91
S 0.4587 0.2294 0.0951  3 B 1.91
S 0.5413 0.7706 0.5951  3 B 1.91
S 0.6667 0.3333 0.7869  3 B 1.91
S 0.7706 0.2294 0.0951  3 B 1.91
S 0.7706 0.5413 0.0951  3 B 1.91
Br 0.0000 0.0000 0.2517  6 Cs 3.54-3.56, 6 H 3.80
Br 0.0000 0.0000 0.7517  6 Cs 3.54-3.56, 6 H 3.80



[6]
# KBe2P

KBe2P after structural relaxation (GGA-PBEsol, Alexandria).

- ΔE_f (kJ/mol of formula units) = 370

Cell lengths 6.4172, 6.4172, 6.4172 Å; angles 90.00, 90.00, 90.00 degrees
Closest atoms and distances in Å follow each position.
Element x y z (fractional)
K 0.0000 0.0000 0.0000  4 Be 2.78, 4 P 2.78
K 0.0000 0.5000 0.5000  4 Be 2.78, 4 P 2.78
K 0.5000 0.0000 0.5000  4 Be 2.78, 4 P 2.78
K 0.5000 0.5000 0.0000  4 Be 2.78, 4 P 2.78
Be 0.0000 0.0000 0.5000  4 P 2.78, 4 Be 2.78
Be 0.0000 0.5000 0.0000  4 P 2.78, 4 Be 2.78
Be 0.2500 0.2500 0.7500  4 Be 2.78, 4 K 2.78
Be 0.2500 0.7500 0.2500  4 Be 2.78, 4 K 2.78
Be 0.5000 0.0000 0.0000  4 P 2.78, 4 Be 2.78
Be 0.5000 0.5000 0.5000  4 P 2.78, 4 Be 2.78
Be 0.7500 0.2500 0.2500  4 Be 2.78, 4 K 2.78
Be 0.7500 0.7500 0.7500  4 Be 2.78, 4 K 2.78
P 0.2500 0.2500 0.2500  4 K 2.78, 4 Be 2.78
P 0.2500 0.7500 0.7500  4 K 2.78, 4 Be 2.78
P 0.7500 0.2500 0.7500  4 K 2.78, 4 Be 2.78
P 0.7500 0.7500 0.2500  4 K 2.78, 4 Be 2.78



[7]
# MgTcBi3

MgTcBi3 after structural relaxation (GGA-PBEsol, Alexandria).

- ΔE_f (kJ/mol of formula units) = 249

Cell lengths 5.2778, 5.2778, 5.2778 Å; angles 90.00, 90.00, 90.00 degrees
Closest atoms and distances in Å follow each position.
Element x y z (fractional)
Mg 0.0000 0.0000 0.0000  12 Bi 3.73
Tc 0.5000 0.5000 0.5000  6 Bi 2.64
Bi 0.0000 0.5000 0.5000  2 Tc 2.64
Bi 0.5000 0.0000 0.5000  2 Tc 2.64
Bi 0.5000 0.5000 0.0000  2 Tc 2.64



[8]
# FeNi2

FeNi2 after structural relaxation (GGA-PBEsol, Alexandria).

- ΔE_f (kJ/mol of formula units) = 6

Cell lengths 2.4500, 12.8919, 4.0332 Å; angles 90.00, 90.00, 90.00 degrees
Closest atoms and distances in Å follow each position.
Element x y z (fractional)
Fe 0.0000 0.2192 0.2500  6 Ni 2.45-2.50, 6 Fe 2.45-2.49
Fe 0.0000 0.7808 0.7500  6 Ni 2.45-2.50, 6 Fe 2.45-2.49
Fe 0.5000 0.2808 0.7500  6 Ni 2.45-2.50, 6 Fe 2.45-2.49
Fe 0.5000 0.7192 0.2500  6 Ni 2.45-2.50, 6 Fe 2.45-2.49
Ni 0.0000 0.1118 0.7500  4 Fe 2.45-2.50, 8 Ni 2.45-2.47
Ni 0.0000 0.4453 0.7500  2 Fe 2.45, 10 Ni 2.45-2.47
Ni 0.0000 0.5547 0.2500  2 Fe 2.45, 10 Ni 2.45-2.47
Ni 0.0000 0.8882 0.2500  4 Fe 2.45-2.50, 8 Ni 2.45-2.47
Ni 0.5000 0.0547 0.2500  2 Fe 2.45, 10 Ni 2.45-2.47
Ni 0.5000 0.3882 0.2500  4 Fe 2.45-2.50, 8 Ni 2.45-2.47
Ni 0.5000 0.6118 0.7500  4 Fe 2.45-2.50, 8 Ni 2.45-2.47
Ni 0.5000 0.9453 0.7500  2 Fe 2.45, 10 Ni 2.45-2.47



[9]
# Pt2Rh

Pt2Rh after structural relaxation (GGA-PBEsol, Alexandria).

- ΔE_f (kJ/mol of formula units) = 17

Cell lengths 2.7117, 14.0701, 4.5743 Å; angles 90.00, 90.00, 90.00 degrees
Closest atoms and distances in Å follow each position.
Element x y z (fractional)
Pt 0.0000 0.0549 0.2500  6 Rh 2.69-2.77, 6 Pt 2.71-2.76
Pt 0.0000 0.2771 0.7500  4 Rh 2.71-2.78, 8 Pt 2.71-2.77
Pt 0.0000 0.7229 0.2500  4 Rh 2.71-2.78, 8 Pt 2.71-2.77
Pt 0.0000 0.9451 0.7500  6 Rh 2.69-2.77, 6 Pt 2.71-2.76
Pt 0.5000 0.2229 0.2500  4 Rh 2.71-2.78, 8 Pt 2.71-2.77
Pt 0.5000 0.4451 0.7500  6 Rh 2.69-2.77, 6 Pt 2.71-2.76
Pt 0.5000 0.5549 0.2500  6 Rh 2.69-2.77, 6 Pt 2.71-2.76
Pt 0.5000 0.7771 0.7500  4 Rh 2.71-2.78, 8 Pt 2.71-2.77
Rh 0.0000 0.3894 0.2500  10 Pt 2.69-2.78, 2 Rh 2.71
Rh 0.0000 0.6106 0.7500  10 Pt 2.69-2.78, 2 Rh 2.71
Rh 0.5000 0.1106 0.7500  10 Pt 2.69-2.78, 2 Rh 2.71
Rh 0.5000 0.8894 0.2500  10 Pt 2.69-2.78, 2 Rh 2.71



[10]
# SrSi3Cl

SrSi3Cl after structural relaxation (GGA-PBEsol, Alexandria).

- formation energy without anion corrections (eV per atom) = 1.685

Cell lengths 5.6404, 5.6404, 5.6404 Å; angles 90.00, 90.00, 90.00 degrees
Closest atoms and distances in Å follow each position.
Element x y z (fractional)
Sr 0.0000 0.0000 0.0000  6 Si 2.82
Si 0.0000 0.0000 0.5000  2 Sr 2.82
Si 0.0000 0.5000 0.0000  2 Sr 2.82
Si 0.5000 0.0000 0.0000  2 Sr 2.82
Cl 0.5000 0.5000 0.5000  12 Si 3.99



[11]
# Mn3PbF

Mn3PbF after structural relaxation (GGA-PBEsol, Alexandria).

- formation energy without anion corrections (eV per atom) = 1.149

Cell lengths 5.1913, 5.1913, 5.1913 Å; angles 90.00, 90.00, 90.00 degrees
Closest atoms and distances in Å follow each position.
Element x y z (fractional)
Mn 0.0000 0.0000 0.5000  2 Pb 2.60
Mn 0.0000 0.5000 0.0000  2 Pb 2.60
Mn 0.5000 0.0000 0.0000  2 Pb 2.60
Pb 0.0000 0.0000 0.0000  6 Mn 2.60
F 0.5000 0.5000 0.5000  12 Mn 3.67



[12]
# SrBrCl

SrBrCl after structural relaxation (GGA-PBEsol, Alexandria).

- formation energy without anion corrections (eV per atom) = -2.248

Cell lengths 4.4562, 4.4562, 6.0581 Å; angles 90.00, 90.00, 120.00 degrees
Closest atoms and distances in Å follow each position.
Element x y z (fractional)
Sr 0.0000 0.0000 0.0000  3 Cl 2.89, 3 Br 3.04
Br 0.3333 0.6667 0.7336  3 Sr 3.04
Cl 0.6667 0.3333 0.2159  3 Sr 2.89